No. 1
Computed, not measured: a relaxed RbDyCuI5 crystal at the PBE level of DFT.

Cell: 8.342 8.342 11.330 Å, 103.98 103.98 105.45°
Atoms (fractional coordinates):
Rb1 0.359 0.641 0.250
Rb2 0.641 0.359 0.750
Dy1 0.000 0.000 0.500
Dy2 0.000 0.000 0.000
Cu1 0.691 0.309 0.250
Cu2 0.309 0.691 0.750
I1 0.083 0.917 0.250
I2 0.917 0.083 0.750
I3 0.909 0.319 0.117
I4 0.091 0.681 0.883
I5 0.681 0.091 0.383
I6 0.319 0.909 0.617
I7 0.771 0.617 0.433
I8 0.229 0.383 0.567
I9 0.383 0.229 0.067
I10 0.617 0.771 0.933

Properties
The formation energy without anion corrections comes out at -8.6 eV/f.u. For the electronic total energy, the calculation gives -52.13 eV per cell. The value obtained for the volume is 696.9 Å³ per cell. Its density of states at the Fermi level is 0.00 states/eV/f.u.

No. 2
Computed, not measured: a relaxed DyTlCuI5 crystal at the PBE level of DFT.

Cell: 8.245 8.245 11.228 Å, 103.96 103.96 106.13°
Atoms (fractional coordinates):
Dy1 0.000 0.000 0.500
Dy2 0.000 0.000 0.000
Tl1 0.368 0.632 0.250
Tl2 0.632 0.368 0.750
Cu1 0.691 0.309 0.250
Cu2 0.309 0.691 0.750
I1 0.089 0.911 0.250
I2 0.911 0.089 0.750
I3 0.921 0.326 0.125
I4 0.079 0.674 0.875
I5 0.674 0.079 0.375
I6 0.326 0.921 0.625
I7 0.761 0.613 0.437
I8 0.239 0.387 0.563
I9 0.387 0.239 0.063
I10 0.613 0.761 0.937

Properties
The formation energy without anion corrections comes out at -6.9 eV/f.u. For the electronic total energy, the calculation gives -51.43 eV per cell. The value obtained for the volume is 671.6 Å³ per cell. Its density of states at the Fermi level is 0.00 states/eV/f.u.

No. 3
Computed, not measured: a relaxed DyTl2CuI6 crystal at the PBE level of DFT.

Cell: 7.030 8.109 8.796 Å, 117.45 105.44 90.00°
Atoms (fractional coordinates):
Dy1 0.000 0.500 0.000
Tl1 0.165 0.240 0.481
Tl2 0.835 0.760 0.519
Cu1 0.500 0.000 0.000
I1 0.298 0.684 0.369
I2 0.219 0.161 0.851
I3 0.781 0.310 0.149
I4 0.219 0.690 0.851
I5 0.781 0.839 0.149
I6 0.702 0.316 0.631

Properties
The formation energy without anion corrections comes out at -7.6 eV/f.u. For the electronic total energy, the calculation gives -30.35 eV per cell. The value obtained for the volume is 424.5 Å³ per cell.

No. 4
Computed, not measured: a relaxed DyIn2Cu crystal at the PBE level of DFT.

Cell: 4.475 4.475 5.930 Å, 67.83 67.83 60.00°
Atoms (fractional coordinates):
In1 0.780 0.780 0.661
In2 0.220 0.220 0.339
Cu1 0.500 0.500 0.500
Dy1 0.000 0.000 0.000

Properties
As for the energy relative to the elements: -223 meV per atom. For the electronic total energy, the calculation gives -15.07 eV per cell. The value obtained for the volume is 92.6 Å³ per cell. Its density of states at the Fermi level is 1.75 states/eV/f.u.